Entry 1:
# MnFeTc2 (meta-GGA SCAN, single point on PBEsol structure)
# Theoretical density = 10.489 g/cm3
# Formation energy from the elements = 0.13 eV/atom
# Offset from the most stable computed form = 140 meV per atom
# Symmetry = Pmmm, No. 47
# E_tot = -26.4977 eV/atom
# DOS at the Fermi energy = 0.8060 states/eV per atom
data_MnFeTc2
_chemical_formula_sum 'Mn1 Fe1 Tc2'
_space_group_name_H-M_alt 'P 1'
_space_group_IT_number 1
_space_group_name_Hall 'P 1'
_cell_length_a 2.6018
_cell_length_b 3.5880
_cell_length_c 5.2026
_cell_angle_alpha 90.00
_cell_angle_beta 90.00
_cell_angle_gamma 90.00
loop_
_atom_site_label
_atom_site_fract_x
_atom_site_fract_y
_atom_site_fract_z
Mn1 0.0000 0.0000 0.0000
Fe1 0.0000 0.0000 0.5000
Tc1 0.5000 0.5000 0.2510
Tc2 0.5000 0.5000 0.7490



Entry 2:
# MnFeTe (meta-GGA SCAN, single point on PBEsol structure)
# Theoretical density = 8.784 g/cm3
# Formation energy (no corrections) = 120 meV/atom
# Offset from the most stable computed form = 0 meV per atom
# Symmetry = I4mm, No. 107
# E_tot = -24.4255 eV/atom
# DOS at the Fermi energy = 0.6329 states/eV per atom
data_MnFeTe
_chemical_formula_sum 'Mn2 Fe2 Te2'
_space_group_name_H-M_alt 'P 1'
_space_group_IT_number 1
_space_group_name_Hall 'P 1'
_cell_length_a 3.3676
_cell_length_b 3.3676
_cell_length_c 7.9475
_cell_angle_alpha 90.00
_cell_angle_beta 90.00
_cell_angle_gamma 90.00
loop_
_atom_site_label
_atom_site_fract_x
_atom_site_fract_y
_atom_site_fract_z
Mn1 0.0000 0.0000 0.0000
Mn2 0.5000 0.5000 0.5000
Fe1 0.0000 0.0000 0.3437
Fe2 0.5000 0.5000 0.8437
Te1 0.0000 0.0000 0.6707
Te2 0.5000 0.5000 0.1707



Entry 3:
# Mn2FeTe (meta-GGA SCAN, single point on PBEsol structure)
# Theoretical density = 8.551 g/cm3
# Formation energy (no corrections) = 166 meV/atom
# Symmetry = P4mm, No. 99
# E_tot = -22.8069 eV/atom
# DOS at the Fermi energy = 0.8740 states/eV per atom
data_Mn2FeTe
_chemical_formula_sum 'Mn2 Fe1 Te1'
_space_group_name_H-M_alt 'P 1'
_space_group_IT_number 1
_space_group_name_Hall 'P 1'
_cell_length_a 3.2764
_cell_length_b 3.2764
_cell_length_c 5.3062
_cell_angle_alpha 90.00
_cell_angle_beta 90.00
_cell_angle_gamma 90.00
loop_
_atom_site_label
_atom_site_fract_x
_atom_site_fract_y
_atom_site_fract_z
Mn1 0.0000 0.0000 0.0000
Mn2 0.5000 0.5000 0.2395
Fe1 0.5000 0.5000 0.7784
Te1 0.0000 0.0000 0.5014



Entry 4:
# MnFeTe (meta-GGA SCAN, single point on PBEsol structure)
# Theoretical density = 8.702 g/cm3
# Formation energy (no corrections) = 337 meV/atom
# Offset from the most stable computed form = 217 meV per atom
# Symmetry = P-6m2, No. 187
# E_tot = -24.2086 eV/atom
# DOS at the Fermi energy = 0.7633 states/eV per atom
data_MnFeTe
_chemical_formula_sum 'Mn1 Fe1 Te1'
_space_group_name_H-M_alt 'P 1'
_space_group_IT_number 1
_space_group_name_Hall 'P 1'
_cell_length_a 4.1235
_cell_length_b 4.1235
_cell_length_c 3.0893
_cell_angle_alpha 90.00
_cell_angle_beta 90.00
_cell_angle_gamma 120.00
loop_
_atom_site_label
_atom_site_fract_x
_atom_site_fract_y
_atom_site_fract_z
Mn1 0.0000 0.0000 0.0000
Fe1 0.3333 0.6667 0.5000
Te1 0.6667 0.3333 0.5000



Entry 5:
# Mn2FeTe (meta-GGA SCAN, single point on PBEsol structure)
# Theoretical density = 8.488 g/cm3
# Formation energy (no corrections) = 53 meV/atom
# Symmetry = P4/mmm, No. 123
# E_tot = -22.9193 eV/atom
# DOS at the Fermi energy = 0.6216 states/eV per atom
data_Mn2FeTe
_chemical_formula_sum 'Mn2 Fe1 Te1'
_space_group_name_H-M_alt 'P 1'
_space_group_IT_number 1
_space_group_name_Hall 'P 1'
_cell_length_a 3.2785
_cell_length_b 3.2785
_cell_length_c 5.3385
_cell_angle_alpha 90.00
_cell_angle_beta 90.00
_cell_angle_gamma 90.00
loop_
_atom_site_label
_atom_site_fract_x
_atom_site_fract_y
_atom_site_fract_z
Mn1 0.0000 0.0000 0.2331
Mn2 0.0000 0.0000 0.7669
Fe1 0.5000 0.5000 0.0000
Te1 0.5000 0.5000 0.5000



Entry 6:
# MnFe2Te (meta-GGA SCAN, single point on PBEsol structure)
# Theoretical density = 8.826 g/cm3
# Formation energy (no corrections) = 38 meV/atom
# Symmetry = P4/mmm, No. 123
# E_tot = -22.9033 eV/atom
# DOS at the Fermi energy = 0.4231 states/eV per atom
data_MnFe2Te
_chemical_formula_sum 'Mn1 Fe2 Te1'
_space_group_name_H-M_alt 'P 1'
_space_group_IT_number 1
_space_group_name_Hall 'P 1'
_cell_length_a 3.8127
_cell_length_b 3.8127
_cell_length_c 3.8083
_cell_angle_alpha 90.00
_cell_angle_beta 90.00
_cell_angle_gamma 90.00
loop_
_atom_site_label
_atom_site_fract_x
_atom_site_fract_y
_atom_site_fract_z
Mn1 0.0000 0.0000 0.0000
Fe1 0.0000 0.5000 0.5000
Fe2 0.5000 0.0000 0.5000
Te1 0.5000 0.5000 0.0000



Entry 7:
# Mn2FeTe (meta-GGA SCAN, single point on PBEsol structure)
# Theoretical density = 9.081 g/cm3
# Formation energy (no corrections) = 139 meV/atom
# Symmetry = Imm2, No. 44
# E_tot = -22.8338 eV/atom
# DOS at the Fermi energy = 0.8266 states/eV per atom
data_Mn2FeTe
_chemical_formula_sum 'Mn4 Fe2 Te2'
_space_group_name_H-M_alt 'P 1'
_space_group_IT_number 1
_space_group_name_Hall 'P 1'
_cell_length_a 3.7027
_cell_length_b 3.7512
_cell_length_c 7.7236
_cell_angle_alpha 90.00
_cell_angle_beta 90.00
_cell_angle_gamma 90.00
loop_
_atom_site_label
_atom_site_fract_x
_atom_site_fract_y
_atom_site_fract_z
Mn1 0.0000 0.0000 0.0000
Mn2 0.0000 0.5000 0.2494
Mn3 0.5000 0.0000 0.7494
Mn4 0.5000 0.5000 0.5000
Fe1 0.0000 0.0000 0.5011
Fe2 0.5000 0.5000 0.0011
Te1 0.0000 0.5000 0.7508
Te2 0.5000 0.0000 0.2508



Entry 8:
# MnFe2Te (meta-GGA SCAN, single point on PBEsol structure)
# Theoretical density = 8.639 g/cm3
# Formation energy (no corrections) = 134 meV/atom
# Symmetry = P4mm, No. 99
# E_tot = -22.8075 eV/atom
# DOS at the Fermi energy = 0.3754 states/eV per atom
data_MnFe2Te
_chemical_formula_sum 'Mn1 Fe2 Te1'
_space_group_name_H-M_alt 'P 1'
_space_group_IT_number 1
_space_group_name_Hall 'P 1'
_cell_length_a 3.2629
_cell_length_b 3.2629
_cell_length_c 5.3122
_cell_angle_alpha 90.00
_cell_angle_beta 90.00
_cell_angle_gamma 90.00
loop_
_atom_site_label
_atom_site_fract_x
_atom_site_fract_y
_atom_site_fract_z
Mn1 0.0000 0.0000 0.0000
Fe1 0.0000 0.0000 0.5416
Fe2 0.5000 0.5000 0.7614
Te1 0.5000 0.5000 0.2618



What is the formula in the third record?
Mn2FeTe



Copy entry 8 word for word.
# MnFe2Te (meta-GGA SCAN, single point on PBEsol structure)
# Theoretical density = 8.639 g/cm3
# Formation energy (no corrections) = 134 meV/atom
# Symmetry = P4mm, No. 99
# E_tot = -22.8075 eV/atom
# DOS at the Fermi energy = 0.3754 states/eV per atom
data_MnFe2Te
_chemical_formula_sum 'Mn1 Fe2 Te1'
_space_group_name_H-M_alt 'P 1'
_space_group_IT_number 1
_space_group_name_Hall 'P 1'
_cell_length_a 3.2629
_cell_length_b 3.2629
_cell_length_c 5.3122
_cell_angle_alpha 90.00
_cell_angle_beta 90.00
_cell_angle_gamma 90.00
loop_
_atom_site_label
_atom_site_fract_x
_atom_site_fract_y
_atom_site_fract_z
Mn1 0.0000 0.0000 0.0000
Fe1 0.0000 0.0000 0.5416
Fe2 0.5000 0.5000 0.7614
Te1 0.5000 0.5000 0.2618



Which of these has the lowest theoretical density?
number 5